# 1
The following is a PBE calculation of crystalline HAuS2 at its relaxed geometry, from the Alexandria database.

Geometry as POSCAR:
```
HAuS2
1.0
2.244 0.000 5.737
-1.122 1.944 5.737
-1.122 -1.944 5.737
S Au H
2 1 1
Direct
0.905 0.905 0.905
0.095 0.095 0.095
0.500 0.500 0.500
0.000 0.000 0.000
```

Computed properties:
* energy above the lowest structure with this stoichiometry: 0.000 eV/atom

***

# 2
The following is a PBE calculation of crystalline H2AuS2 at its relaxed geometry, from the Alexandria database.

Geometry as POSCAR:
```
H2AuS2
1.0
-1.120 -2.754 2.170
-2.625 -2.938 -1.961
4.898 -4.931 -0.611
S Au H
2 1 2
Direct
0.688 0.863 0.761
0.312 0.137 0.239
0.000 0.000 0.000
0.578 0.168 0.676
0.422 0.832 0.324
```

Computed properties:
* raw total energy: -3.664 eV per atom

***

# 3
The following is a PBE calculation of crystalline HAuS2 at its relaxed geometry, from the Alexandria database.

Geometry as POSCAR:
```
HAuS2
1.0
-1.969 -3.840 -0.725
-3.563 -0.188 -2.534
0.223 -1.861 -3.955
Au S H
1 2 1
Direct
0.500 0.500 0.500
0.250 0.250 0.250
0.750 0.750 0.750
0.000 0.000 0.000
```

Computed properties:
* energy above the lowest structure with this stoichiometry: 0.864 eV/atom

***

# 4
The following is a PBE calculation of crystalline H2Au5S4 at its relaxed geometry, from the Alexandria database.

Geometry as POSCAR:
```
H2Au5S4
1.0
7.285 -0.559 -2.594
-4.434 6.337 -0.537
-1.161 -0.163 6.835
Au S H
5 4 2
Direct
0.945 0.764 0.206
0.559 0.739 0.794
0.055 0.236 0.794
0.500 0.000 0.500
0.441 0.261 0.206
0.287 0.342 0.629
0.213 0.871 0.083
0.713 0.658 0.371
0.787 0.129 0.917
0.895 0.695 0.590
0.105 0.305 0.410
```

Computed properties:
* raw total energy: -3.668 eV per atom

***

# 5
The following is a PBE calculation of crystalline H2AuS6 at its relaxed geometry, from the Alexandria database.

Geometry as POSCAR:
```
H2AuS6
1.0
1.475 1.973 -11.441
-3.382 2.980 -3.657
0.622 11.276 -3.072
S H Au
12 4 2
Direct
0.973 0.112 0.640
0.360 0.388 0.027
0.713 0.226 0.943
0.600 0.299 0.476
0.287 0.774 0.057
0.640 0.612 0.973
0.400 0.701 0.524
0.057 0.274 0.287
0.027 0.888 0.360
0.943 0.726 0.713
0.524 0.201 0.400
0.476 0.799 0.600
0.415 0.122 0.162
0.162 0.622 0.415
0.838 0.378 0.585
0.585 0.878 0.838
0.121 0.250 0.879
0.879 0.750 0.121
```

Computed properties:
* raw total energy: -3.789 eV per atom

***

# 6
The following is a PBE calculation of crystalline HAuS5 at its relaxed geometry, from the Alexandria database.

Geometry as POSCAR:
```
HAuS5
1.0
6.616 3.505 1.238
-0.418 8.626 -5.084
2.852 -2.603 9.254
S Au H
10 2 2
Direct
0.899 0.343 0.761
0.758 0.771 0.627
0.981 0.148 0.427
0.399 0.261 0.842
0.504 0.010 0.290
0.257 0.129 0.272
0.004 0.789 0.509
0.365 0.431 0.144
0.481 0.927 0.647
0.865 0.645 0.932
0.126 0.888 0.883
0.626 0.383 0.388
0.865 0.190 0.083
0.369 0.585 0.693
```

Computed properties:
* raw total energy: -3.739 eV per atom

***

# 7
The following is a PBE calculation of crystalline HAuS3 at its relaxed geometry, from the Alexandria database.

Geometry as POSCAR:
```
HAuS3
1.0
4.153 0.000 0.000
0.000 4.153 0.000
0.000 0.000 4.153
Au S H
1 3 1
Direct
0.500 0.500 0.500
0.000 0.000 0.500
0.000 0.500 0.000
0.500 0.000 0.000
0.000 0.000 0.000
```

Computed properties:
* energy above the lowest structure with this stoichiometry: 0.000 eV/atom

***

# 8
The following is a PBE calculation of crystalline HAuS2 at its relaxed geometry, from the Alexandria database.

Geometry as POSCAR:
```
HAuS2
1.0
-3.095 2.098 3.750
-4.286 -1.184 -2.875
-3.946 -3.554 2.470
H Au S
2 2 4
Direct
0.250 0.750 0.500
0.500 0.500 0.000
0.750 0.250 0.500
0.000 0.000 0.000
0.875 0.804 0.750
0.554 0.125 0.250
0.196 0.625 0.250
0.375 0.446 0.750
```

Computed properties:
* energy above the lowest structure with this stoichiometry: 0.286 eV/atom